1.
Here is a relaxed Pm3IrPt crystal from Alexandria via LeMat-Bulk. Energies are from GGA-PBE.

abc: 4.1666 7.1266 9.1037
angles: 90.00 90.00 90.00
Fractional coordinates of all 10 atoms:
1 Pm 0.2500 0.0124 0.1662
2 Pm 0.2500 0.2500 0.5589
3 Pm 0.2500 0.4876 0.1662
4 Pm 0.7500 0.5124 0.8338
5 Pm 0.7500 0.7500 0.4411
6 Pm 0.7500 0.9876 0.8338
7 Ir 0.2500 0.2500 0.8946
8 Ir 0.7500 0.7500 0.1054
9 Pt 0.2500 0.7500 0.6557
10 Pt 0.7500 0.2500 0.3443

## Properties
- space-group type = Pmmn
- calculated total energy (eV for the cell shown) = -65.90
- ρ (g/cm³) = 10.1
- magnetization (μB/atom) = 0.0000
- DOS at the Fermi energy (states/eV per atom) = 0.53
- calculated formation energy (eV per atom) = -0.76

2.
Here is a relaxed Ac12Sb3N5 crystal from Alexandria via LeMat-Bulk. Energies are from GGA-PBE.

abc: 14.9564 14.9564 14.9564
angles: 109.47 109.47 109.47
Fractional coordinates of all 80 atoms:
1 Ac 0.0121 0.1986 0.1109
2 Ac 0.0121 0.3135 0.9011
3 Ac 0.0876 0.6986 0.6865
4 Ac 0.0876 0.8891 0.4011
5 Ac 0.0989 0.6109 0.4124
6 Ac 0.0989 0.9879 0.6865
7 Ac 0.1109 0.0121 0.1986
8 Ac 0.1109 0.5989 0.9124
9 Ac 0.1865 0.1986 0.5876
10 Ac 0.1865 0.4879 0.5989
11 Ac 0.1986 0.1109 0.0121
12 Ac 0.1986 0.5876 0.1865
13 Ac 0.3014 0.3135 0.9124
14 Ac 0.3014 0.4879 0.3891
15 Ac 0.3135 0.9011 0.0121
16 Ac 0.3135 0.9124 0.3014
17 Ac 0.3891 0.3014 0.4879
18 Ac 0.3891 0.5876 0.9011
19 Ac 0.4011 0.0876 0.8891
20 Ac 0.4011 0.8135 0.5121
21 Ac 0.4124 0.0989 0.6109
22 Ac 0.4124 0.8135 0.8014
23 Ac 0.4879 0.3891 0.3014
24 Ac 0.4879 0.5989 0.1865
25 Ac 0.5121 0.4011 0.8135
26 Ac 0.5121 0.6109 0.6986
27 Ac 0.5876 0.1865 0.1986
28 Ac 0.5876 0.9011 0.3891
29 Ac 0.5989 0.1865 0.4879
30 Ac 0.5989 0.9124 0.1109
31 Ac 0.6109 0.4124 0.0989
32 Ac 0.6109 0.6986 0.5121
33 Ac 0.6865 0.0876 0.6986
34 Ac 0.6865 0.0989 0.9879
35 Ac 0.6986 0.5121 0.6109
36 Ac 0.6986 0.6865 0.0876
37 Ac 0.8014 0.4124 0.8135
38 Ac 0.8014 0.8891 0.9879
39 Ac 0.8135 0.5121 0.4011
40 Ac 0.8135 0.8014 0.4124
41 Ac 0.8891 0.4011 0.0876
42 Ac 0.8891 0.9879 0.8014
43 Ac 0.9011 0.0121 0.3135
44 Ac 0.9011 0.3891 0.5876
45 Ac 0.9124 0.1109 0.5989
46 Ac 0.9124 0.3014 0.3135
47 Ac 0.9879 0.6865 0.0989
48 Ac 0.9879 0.8014 0.8891
49 Sb 0.1250 0.2500 0.3750
50 Sb 0.1250 0.3750 0.7500
51 Sb 0.2500 0.3750 0.1250
52 Sb 0.2500 0.8750 0.6250
53 Sb 0.3750 0.1250 0.2500
54 Sb 0.3750 0.7500 0.1250
55 Sb 0.6250 0.2500 0.8750
56 Sb 0.6250 0.8750 0.7500
57 Sb 0.7500 0.1250 0.3750
58 Sb 0.7500 0.6250 0.8750
59 Sb 0.8750 0.6250 0.2500
60 Sb 0.8750 0.7500 0.6250
61 N 0.0000 0.0000 0.0000
62 N 0.0000 0.0000 0.5000
63 N 0.0000 0.5000 0.0000
64 N 0.0000 0.5000 0.5000
65 N 0.1250 0.7500 0.8750
66 N 0.1250 0.8750 0.2500
67 N 0.2500 0.1250 0.8750
68 N 0.2500 0.6250 0.3750
69 N 0.3750 0.2500 0.6250
70 N 0.3750 0.6250 0.7500
71 N 0.5000 0.0000 0.0000
72 N 0.5000 0.0000 0.5000
73 N 0.5000 0.5000 0.0000
74 N 0.5000 0.5000 0.5000
75 N 0.6250 0.3750 0.2500
76 N 0.6250 0.7500 0.3750
77 N 0.7500 0.3750 0.6250
78 N 0.7500 0.8750 0.1250
79 N 0.8750 0.1250 0.7500
80 N 0.8750 0.2500 0.1250

## Properties
- ΔE_f (raw) (meV/atom) = -822
- space-group type = Ia-3d
- calculated total energy (eV for the cell shown) = -478.93
- ρ (g/cm³) = 8.1
- magnetization (μB/atom) = 0.0000
- DOS at the Fermi energy (states/eV per atom) = 0.88

3.
Here is a relaxed NaZnPt2 crystal from Alexandria via LeMat-Bulk. Energies are from GGA-PBE.

abc: 9.2239 9.2239 9.2239
angles: 17.96 17.96 17.96
Fractional coordinates of all 4 atoms:
1 Na 0.0000 0.0000 0.0000
2 Zn 0.5000 0.5000 0.5000
3 Pt 0.2417 0.2417 0.2417
4 Pt 0.7583 0.7583 0.7583

## Properties
- space-group type = R-3m
- calculated total energy (eV for the cell shown) = -15.81
- ρ (g/cm³) = 12.2
- magnetization (μB/atom) = 0.0000
- DOS at the Fermi energy (states/eV per atom) = 0.66
- calculated formation energy (eV per atom) = -0.28

4.
Here is a relaxed Li5Sn2Pd3 crystal from Alexandria via LeMat-Bulk. Energies are from GGA-PBE.

abc: 8.5533 8.5533 8.5533
angles: 116.22 75.77 143.51
Fractional coordinates of all 20 atoms:
1 Li 0.1675 0.7480 0.9155
2 Li 0.2500 0.0085 0.7585
3 Li 0.2500 0.2500 0.0000
4 Li 0.2500 0.4915 0.2415
5 Li 0.3325 0.2480 0.5806
6 Li 0.6675 0.7520 0.4194
7 Li 0.7500 0.5085 0.7585
8 Li 0.7500 0.7500 0.0000
9 Li 0.7500 0.9915 0.2415
10 Li 0.8325 0.2520 0.0845
11 Sn 0.1682 0.4034 0.5715
12 Sn 0.3318 0.9034 0.2352
13 Sn 0.6682 0.0966 0.7648
14 Sn 0.8318 0.5966 0.4285
15 Pd 0.1590 0.0867 0.2456
16 Pd 0.2500 0.7500 0.5000
17 Pd 0.3410 0.5867 0.9277
18 Pd 0.6590 0.4133 0.0723
19 Pd 0.7500 0.2500 0.5000
20 Pd 0.8410 0.9133 0.7544

## Properties
- space-group type = Ibam
- calculated total energy (eV for the cell shown) = -72.68
- ρ (g/cm³) = 6.0
- magnetization (μB/atom) = 0.0000
- DOS at the Fermi energy (states/eV per atom) = 0.21
- calculated formation energy (eV per atom) = -0.32

5.
Here is a relaxed SrLi2Tl4Cd crystal from Alexandria via LeMat-Bulk. Energies are from GGA-PBE.

abc: 10.5461 10.5461 10.5461
angles: 27.15 27.15 27.15
Fractional coordinates of all 8 atoms:
1 Sr 0.0000 0.0000 0.0000
2 Li 0.2222 0.2222 0.2222
3 Li 0.7778 0.7778 0.7778
4 Tl 0.1180 0.1180 0.1180
5 Tl 0.3973 0.3973 0.3973
6 Tl 0.6027 0.6027 0.6027
7 Tl 0.8820 0.8820 0.8820
8 Cd 0.5000 0.5000 0.5000

## Properties
- space-group type = R-3m
- calculated total energy (eV for the cell shown) = -17.53
- ρ (g/cm³) = 7.9
- magnetization (μB/atom) = 0.0000
- DOS at the Fermi energy (states/eV per atom) = 0.30
- calculated formation energy (eV per atom) = -0.21

6.
Here is a relaxed LaMgInHg2 crystal from Alexandria via LeMat-Bulk. Energies are from GGA-PBE.

abc: 7.0910 7.0910 7.0910
angles: 142.66 142.66 53.84
Fractional coordinates of all 5 atoms:
1 La 0.0000 0.0000 0.0000
2 Mg 0.2500 0.7500 0.5000
3 In 0.7500 0.2500 0.5000
4 Hg 0.3895 0.3895 0.0000
5 Hg 0.6105 0.6105 0.0000

## Properties
- space-group type = I-4m2
- calculated total energy (eV for the cell shown) = -11.72
- ρ (g/cm³) = 8.7
- magnetization (μB/atom) = 0.0000
- DOS at the Fermi energy (states/eV per atom) = 0.53
- calculated formation energy (eV per atom) = -0.37

7.
Here is a relaxed Pu5PaPd6 crystal from Alexandria via LeMat-Bulk. Energies are from GGA-PBE.

abc: 5.1981 6.6776 7.5152
angles: 90.00 105.33 90.00
Fractional coordinates of all 12 atoms:
1 Pu 0.0000 0.0000 0.0000
2 Pu 0.2438 0.5000 0.6690
3 Pu 0.2501 0.0000 0.6546
4 Pu 0.7499 0.0000 0.3454
5 Pu 0.7562 0.5000 0.3310
6 Pa 0.0000 0.5000 0.0000
7 Pd 0.2652 0.2582 0.3269
8 Pd 0.2652 0.7418 0.3269
9 Pd 0.5000 0.2422 0.0000
10 Pd 0.5000 0.7578 0.0000
11 Pd 0.7348 0.2582 0.6731
12 Pd 0.7348 0.7418 0.6731

## Properties
- space-group type = P2/m
- calculated total energy (eV for the cell shown) = -117.20
- ρ (g/cm³) = 13.8
- magnetization (μB/atom) = 1.4223
- DOS at the Fermi energy (states/eV per atom) = 3.43
- calculated formation energy (eV per atom) = -0.41

8.
Here is a relaxed LiAcNdSi crystal from Alexandria via LeMat-Bulk. Energies are from GGA-PBE.

abc: 5.3346 5.3346 5.3346
angles: 60.00 60.00 60.00
Fractional coordinates of all 4 atoms:
1 Li 0.0000 0.0000 0.0000
2 Ac 0.2500 0.2500 0.2500
3 Nd 0.7500 0.7500 0.7500
4 Si 0.5000 0.5000 0.5000

## Properties
- ΔE_f (raw) (meV/atom) = -243
- space-group type = F-43m
- calculated total energy (eV for the cell shown) = -17.19
- ρ (g/cm³) = 6.3
- magnetization (μB/atom) = 0.0000
- DOS at the Fermi energy (states/eV per atom) = 0.68

9.
Here is a relaxed Tb2Ho2Ni15 crystal from Alexandria via LeMat-Bulk. Energies are from GGA-PBE.

abc: 6.4711 6.4711 6.4711
angles: 82.36 82.36 82.36
Fractional coordinates of all 19 atoms:
1 Tb 0.1113 0.1113 0.1113
2 Tb 0.8887 0.8887 0.8887
3 Ho 0.3622 0.3622 0.3622
4 Ho 0.6378 0.6378 0.6378
5 Ni 0.0000 0.0000 0.5000
6 Ni 0.0000 0.3144 0.6856
7 Ni 0.0000 0.5000 0.0000
8 Ni 0.0000 0.6856 0.3144
9 Ni 0.1700 0.6510 0.6510
10 Ni 0.3144 0.0000 0.6856
11 Ni 0.3144 0.6856 0.0000
12 Ni 0.3490 0.3490 0.8300
13 Ni 0.3490 0.8300 0.3490
14 Ni 0.5000 0.0000 0.0000
15 Ni 0.6510 0.1700 0.6510
16 Ni 0.6510 0.6510 0.1700
17 Ni 0.6856 0.0000 0.3144
18 Ni 0.6856 0.3144 0.0000
19 Ni 0.8300 0.3490 0.3490

## Properties
- space-group type = R-3m
- calculated total energy (eV for the cell shown) = -109.54
- ρ (g/cm³) = 9.6
- magnetization (μB/atom) = 0.1207
- DOS at the Fermi energy (states/eV per atom) = 1.32
- calculated formation energy (eV per atom) = -0.23